[1]
A geometry-optimized BaSiPS2 structure. Source: Alexandria, functional PBEsol.

Lattice parameters (Å, degrees): 4.7908 4.7908 4.5622 90.00 90.00 90.00
Space group P4/mmm (No. 123)
Symmetry-distinct sites (fractional):
1 Ba 0.0000 0.0000 0.0000 [1 per cell]
2 Si 0.5000 0.5000 0.5000 [1 per cell]
3 P 0.5000 0.5000 0.0000 [1 per cell]
4 S 0.0000 0.5000 0.5000 [2 per cell]

Calculated values
E_tot: -5.168 eV/atom
Energy above the lowest structure with this stoichiometry: 0 meV/atom
Raw formation energy: -677 meV/atom
Total magnetization: 0.000 μB/cell

=====

[2]
A geometry-optimized BaTaPS2 structure. Source: Alexandria, functional PBEsol.

Lattice parameters (Å, degrees): 4.8268 4.8268 4.8689 90.00 90.00 90.00
Space group P4/mmm (No. 123)
Symmetry-distinct sites (fractional):
1 Ba 0.0000 0.0000 0.0000 [1 per cell]
2 Ta 0.5000 0.5000 0.5000 [1 per cell]
3 P 0.5000 0.5000 0.0000 [1 per cell]
4 S 0.0000 0.5000 0.5000 [2 per cell]

Calculated values
E_tot: -6.996 eV/atom
Energy above the lowest structure with this stoichiometry: 0 meV/atom
Raw formation energy: -1144 meV/atom
Total magnetization: 0.000 μB/cell

=====

[3]
A geometry-optimized BaTaPS2 structure. Source: Alexandria, functional PBEsol.

Lattice parameters (Å, degrees): 5.3602 5.3602 5.3710 90.00 90.00 90.00
Space group P4/mmm (No. 123)
Symmetry-distinct sites (fractional):
1 Ba 0.0000 0.0000 0.0000 [1 per cell]
2 Ta 0.5000 0.5000 0.5000 [1 per cell]
3 P 0.0000 0.0000 0.5000 [1 per cell]
4 S 0.0000 0.5000 0.0000 [2 per cell]

Calculated values
E_tot: -4.153 eV/atom
Energy above the lowest structure with this stoichiometry: 2843 meV/atom
Raw formation energy: 1699 meV/atom
Total magnetization: 1.636 μB/cell

=====

[4]
A geometry-optimized BaTeP2S structure. Source: Alexandria, functional PBEsol.

Lattice parameters (Å, degrees): 5.5772 5.5772 5.1563 90.00 90.00 90.00
Space group P4/mmm (No. 123)
Symmetry-distinct sites (fractional):
1 Ba 0.0000 0.0000 0.0000 [1 per cell]
2 Te 0.5000 0.5000 0.5000 [1 per cell]
3 P 0.0000 0.5000 0.0000 [2 per cell]
4 S 0.0000 0.0000 0.5000 [1 per cell]

Calculated values
E_tot: -3.018 eV/atom
Energy above the lowest structure with this stoichiometry: 1384 meV/atom
Raw formation energy: 1311 meV/atom
Total magnetization: 0.005 μB/cell